The following is a PBE-GGA calculation of a relaxed ThAgPd2 crystal, from Alexandria via LeMat-Bulk.

abc: 3.6939 3.6939 5.9942
angles: 90.00 90.00 90.00
Atoms (fractional coordinates):
Th  0.0000  0.0000  0.0000
Ag  0.0000  0.0000  0.5000
Pd  0.5000  0.5000  0.2602
Pd  0.5000  0.5000  0.7398

- size of the total moment (μB per atom) = 0.000
- ΔE to the lowest computed polymorph (eV per formula unit) = 0.25
- DFT formation energy (meV/atom) = -497